(1)
Below is crystalline BaTlIn2 at its relaxed geometry, with properties calculated at the PBE level.

Values from the calculation:
Distance to the lowest polymorph of the same formula = 0 meV/atom
M_tot = 0.0 μB/f.u.
VASP energy = -2.76 eV/atom
Energy relative to the elements = -1.3 eV per formula unit
Fermi-level density of states = 1.494 states/eV/cell

abc: 5.070 5.070 6.793
angles: 68.06 68.06 59.90
Fractional coordinates of all 4 atoms:
Tl: 0.523 0.523 0.432
Ba: 0.748 0.748 0.757
In: 0.970 0.970 0.089
In: 0.259 0.259 0.222



(2)
Below is crystalline Ba2Tl5In3 at its relaxed geometry, with properties calculated at the PBE level.

Values from the calculation:
Distance to the lowest polymorph of the same formula = 9 meV/atom
M_tot = 0.0 μB/f.u.
VASP energy = -2.64 eV/atom
Energy relative to the elements = -2.5 eV per formula unit
Fermi-level density of states = 8.872 states/eV/cell

abc: 7.380 10.277 10.277
angles: 73.98 68.96 68.96
Fractional coordinates of all 20 atoms:
Ba: 0.127 0.618 0.129
Ba: 0.627 0.129 0.618
Ba: 0.873 0.382 0.871
Ba: 0.373 0.871 0.382
Tl: 0.383 0.257 0.978
Tl: 0.883 0.978 0.257
Tl: 0.617 0.743 0.022
Tl: 0.117 0.022 0.743
Tl: 0.494 0.756 0.756
Tl: 0.506 0.244 0.244
Tl: 0.750 0.500 0.500
Tl: 0.250 0.500 0.500
Tl: 0.006 0.244 0.244
Tl: 0.994 0.756 0.756
In: 0.373 0.501 0.754
In: 0.873 0.754 0.501
In: 0.627 0.499 0.246
In: 0.127 0.246 0.499
In: 0.250 0.000 0.000
In: 0.750 0.000 0.000



(3)
Below is crystalline Ba8Tl2In3 at its relaxed geometry, with properties calculated at the PBE level.

Values from the calculation:
M_tot = 0.0 μB/f.u.
VASP energy = -2.46 eV/atom
Energy relative to the elements = -3.6 eV per formula unit
Fermi-level density of states = 13.704 states/eV/cell

abc: 6.024 12.015 10.431
angles: 125.16 90.00 90.00
Fractional coordinates of all 13 atoms:
Ba: 0.000 0.626 0.252
Ba: 0.000 0.374 0.748
Ba: 0.000 0.126 0.253
Ba: 0.000 0.874 0.747
Ba: 0.500 0.626 0.750
Ba: 0.500 0.124 0.750
Ba: 0.500 0.876 0.250
Ba: 0.500 0.374 0.250
Tl: 0.500 0.248 0.497
Tl: 0.500 0.752 0.503
In: 0.500 0.000 0.000
In: 0.000 0.246 0.000
In: 0.000 0.754 0.000



(4)
Below is crystalline Ba2Tl15In2 at its relaxed geometry, with properties calculated at the PBE level.

Values from the calculation:
M_tot = 0.0 μB/f.u.
VASP energy = -2.45 eV/atom
Energy relative to the elements = -1.7 eV per formula unit
Fermi-level density of states = 10.130 states/eV/cell

abc: 8.623 8.623 8.623
angles: 82.30 82.30 82.30
Fractional coordinates of all 19 atoms:
Ba: 0.329 0.329 0.329
Ba: 0.671 0.671 0.671
Tl: 0.500 0.000 0.000
Tl: 0.000 0.000 0.500
Tl: 0.000 0.500 0.000
Tl: 0.000 0.705 0.295
Tl: 0.705 0.295 0.000
Tl: 0.295 0.000 0.705
Tl: 0.295 0.705 0.000
Tl: 0.705 0.000 0.295
Tl: 0.000 0.295 0.705
Tl: 0.155 0.641 0.641
Tl: 0.641 0.641 0.155
Tl: 0.641 0.155 0.641
Tl: 0.845 0.359 0.359
Tl: 0.359 0.359 0.845
Tl: 0.359 0.845 0.359
In: 0.095 0.095 0.095
In: 0.905 0.905 0.905



(5)
Below is crystalline Ba3Tl4In2 at its relaxed geometry, with properties calculated at the PBE level.

Values from the calculation:
M_tot = 0.0 μB/f.u.
VASP energy = -2.68 eV/atom
Energy relative to the elements = -3.4 eV per formula unit
Fermi-level density of states = 5.060 states/eV/cell

abc: 5.302 6.873 10.200
angles: 107.94 90.00 112.69
Fractional coordinates of all 9 atoms:
Ba: 0.644 0.288 0.680
Ba: 0.000 0.000 0.000
Ba: 0.356 0.712 0.320
Tl: 0.697 0.393 0.036
Tl: 0.303 0.607 0.964
Tl: 0.901 0.801 0.571
Tl: 0.099 0.199 0.429
In: 0.654 0.308 0.313
In: 0.346 0.692 0.687



(6)
Below is crystalline Ba8Tl2In at its relaxed geometry, with properties calculated at the PBE level.

Values from the calculation:
Distance to the lowest polymorph of the same formula = 0 meV/atom
M_tot = 0.2 μB/f.u.
VASP energy = -2.33 eV/atom
Energy relative to the elements = -2.8 eV per formula unit
Fermi-level density of states = 10.880 states/eV/cell

abc: 6.142 8.526 11.093
angles: 108.63 106.07 90.00
Fractional coordinates of all 11 atoms:
Ba: 0.402 0.555 0.805
Ba: 0.667 0.958 0.333
Ba: 0.801 0.698 0.602
Ba: 0.971 0.210 0.941
Ba: 0.199 0.302 0.398
Ba: 0.333 0.042 0.667
Ba: 0.598 0.445 0.195
Ba: 0.029 0.790 0.059
Tl: 0.817 0.303 0.633
Tl: 0.183 0.697 0.367
In: 0.500 0.000 0.000



(7)
Below is crystalline BaTlIn at its relaxed geometry, with properties calculated at the PBE level.

Values from the calculation:
M_tot = 0.0 μB/f.u.
VASP energy = -2.75 eV/atom
Energy relative to the elements = -1.2 eV per formula unit
Fermi-level density of states = 1.254 states/eV/cell

abc: 5.278 6.818 6.903
angles: 94.07 67.54 112.78
Fractional coordinates of all 6 atoms:
Tl: 0.184 0.678 0.688
Tl: 0.788 0.618 0.420
Ba: 0.986 0.148 0.554
Ba: 0.486 0.648 0.054
In: 0.194 0.029 0.020
In: 0.779 0.266 0.088



(8)
Below is crystalline Ba2Tl5In2 at its relaxed geometry, with properties calculated at the PBE level.

Values from the calculation:
M_tot = 0.0 μB/f.u.
VASP energy = -2.61 eV/atom
Energy relative to the elements = -2.3 eV per formula unit
Fermi-level density of states = 4.853 states/eV/cell

abc: 5.065 5.065 11.747
angles: 90.00 90.00 90.00
Fractional coordinates of all 9 atoms:
Ba: 0.000 0.000 0.000
Ba: 0.000 0.000 0.500
Tl: 0.500 0.000 0.276
Tl: 0.500 0.000 0.724
Tl: 0.500 0.500 0.500
Tl: 0.000 0.500 0.276
Tl: 0.000 0.500 0.724
In: 0.500 0.500 0.122
In: 0.500 0.500 0.878



(9)
Below is crystalline Ba4Tl2In at its relaxed geometry, with properties calculated at the PBE level.

Values from the calculation:
Distance to the lowest polymorph of the same formula = 0 meV/atom
M_tot = 0.0 μB/f.u.
VASP energy = -2.50 eV/atom
Energy relative to the elements = -2.4 eV per formula unit
Fermi-level density of states = 14.013 states/eV/cell

abc: 9.532 9.532 9.531
angles: 126.35 101.77 101.72
Fractional coordinates of all 14 atoms:
Ba: 0.876 0.014 0.139
Ba: 0.374 0.521 0.147
Ba: 0.877 0.521 0.645
Ba: 0.875 0.268 0.892
Ba: 0.376 0.268 0.393
Ba: 0.373 0.014 0.641
Ba: 0.373 0.768 0.891
Ba: 0.877 0.768 0.395
Tl: 0.616 0.511 0.895
Tl: 0.634 0.025 0.391
Tl: 0.625 0.268 0.143
Tl: 0.125 0.268 0.643
In: 0.117 0.505 0.389
In: 0.133 0.030 0.897



(10)
Below is crystalline Ba4TlIn3 at its relaxed geometry, with properties calculated at the PBE level.

Values from the calculation:
M_tot = 0.0 μB/f.u.
VASP energy = -2.68 eV/atom
Energy relative to the elements = -3.2 eV per formula unit
Fermi-level density of states = 7.353 states/eV/cell

abc: 4.285 4.285 17.150
angles: 90.00 90.00 90.00
Fractional coordinates of all 8 atoms:
Tl: 0.500 0.500 0.000
Ba: 0.000 0.000 0.873
Ba: 0.000 0.000 0.127
Ba: 0.000 0.000 0.376
Ba: 0.000 0.000 0.624
In: 0.500 0.500 0.251
In: 0.500 0.500 0.500
In: 0.500 0.500 0.749



(11)
Below is crystalline Ba2TlIn at its relaxed geometry, with properties calculated at the PBE level.

Values from the calculation:
M_tot = 0.0 μB/f.u.
VASP energy = -1.96 eV/atom
Energy relative to the elements = 1.1 eV per formula unit
Fermi-level density of states = 5.159 states/eV/cell

abc: 8.096 8.096 8.096
angles: 56.74 152.53 131.39
Fractional coordinates of all 4 atoms:
Ba: 0.000 0.251 0.251
Ba: 0.000 0.749 0.749
Tl: 0.000 0.500 0.500
In: 0.000 0.000 0.000



(12)
Below is crystalline Ba3Tl4In4 at its relaxed geometry, with properties calculated at the PBE level.

Values from the calculation:
M_tot = 0.0 μB/f.u.
VASP energy = -2.71 eV/atom
Energy relative to the elements = -3.6 eV per formula unit
Fermi-level density of states = 6.208 states/eV/cell

abc: 5.187 4.919 15.563
angles: 80.63 80.24 89.95
Fractional coordinates of all 11 atoms:
Ba: 0.650 0.145 0.700
Ba: 0.350 0.855 0.300
Ba: 0.000 0.000 0.000
Tl: 0.095 0.654 0.812
Tl: 0.251 0.245 0.496
Tl: 0.749 0.755 0.504
Tl: 0.905 0.346 0.188
In: 0.548 0.494 0.904
In: 0.452 0.506 0.096
In: 0.807 0.321 0.383
In: 0.193 0.679 0.617



Among the records above, which one has the highest Fermi-level density of states?
Ba4Tl2In



What is the formula in the tenth record?
Ba4TlIn3



Fermi-level density of states of number 10 (Ba4TlIn3)?
7.353 states/eV/cell



What is the formula in the eighth record?
Ba2Tl5In2